1.
# LaTlN2F

Crystalline LaTlN2F at its relaxed geometry (PBE, Alexandria via LeMat-Bulk).

a = 4.3054 Å, b = 4.3054 Å, c = 4.4105 Å
α = 90.00°, β = 90.00°, γ = 90.00°
Last column: nearest neighbours and their distance in Å.
Space group P4/mmm (No. 123)
Symmetry-distinct sites (fractional):
La 0.0000 0.0000 0.0000 (multiplicity 1)  4 F 3.04, 8 N 3.08
Tl 0.5000 0.5000 0.5000 (multiplicity 1)  4 N 2.15, 2 F 2.21
N 0.0000 0.5000 0.5000 (multiplicity 2)  2 Tl 2.15
F 0.5000 0.5000 0.0000 (multiplicity 1)  2 Tl 2.21

- Relative energy among the computed polymorphs: 35 meV per atom

2.
# BaLa2BiSe

Crystalline BaLa2BiSe at its relaxed geometry (PBE, Alexandria via LeMat-Bulk).

a = 5.6808 Å, b = 5.6808 Å, c = 6.2887 Å
α = 90.00°, β = 90.00°, γ = 90.00°
Last column: nearest neighbours and their distance in Å.
Space group P4/mmm (No. 123)
Symmetry-distinct sites (fractional):
Ba 0.0000 0.0000 0.0000 (multiplicity 1)  4 Bi 4.02, 8 La 4.24
La 0.0000 0.5000 0.5000 (multiplicity 2)  2 Se 2.84
Bi 0.5000 0.5000 0.0000 (multiplicity 1)  2 Se 3.14
Se 0.5000 0.5000 0.5000 (multiplicity 1)  4 La 2.84, 2 Bi 3.14

- DFT total energy: -22.09 eV for the cell shown

3.
# TlCrInPt2

Crystalline TlCrInPt2 at its relaxed geometry (PBE, Alexandria via LeMat-Bulk).

a = 4.9724 Å, b = 4.9724 Å, c = 5.3831 Å
α = 90.00°, β = 90.00°, γ = 90.00°
Last column: nearest neighbours and their distance in Å.
Space group P4/mmm (No. 123)
Symmetry-distinct sites (fractional):
Tl 0.0000 0.0000 0.0000 (multiplicity 1)  2 In 2.69
Cr 0.5000 0.5000 0.0000 (multiplicity 1)  4 Tl 3.52, 8 Pt 3.66
In 0.0000 0.0000 0.5000 (multiplicity 1)  4 Pt 2.49, 2 Tl 2.69
Pt 0.0000 0.5000 0.5000 (multiplicity 2)  2 In 2.49

- Calculated formation energy: 1.547 eV/atom

4.
# Y3Rh2

Crystalline Y3Rh2 at its relaxed geometry (PBE, Alexandria via LeMat-Bulk).

a = 17.1832 Å, b = 4.2821 Å, c = 10.4441 Å
α = 90.00°, β = 96.81°, γ = 90.00°
Last column: nearest neighbours and their distance in Å.
Space group C2/m (No. 12)
Symmetry-distinct sites (fractional):
Y 0.0000 0.0000 0.0000 (multiplicity 2)  4 Rh 2.87
Y 0.0363 0.0000 0.6619 (multiplicity 4)  3 Rh 2.78-2.84
Y 0.1253 0.5000 0.2851 (multiplicity 4)  5 Rh 2.76-2.86
Y 0.1729 0.5000 0.9602 (multiplicity 4)  4 Rh 2.70-2.88
Y 0.2065 0.5000 0.6225 (multiplicity 4)  4 Rh 2.85-2.99
Rh 0.0279 0.5000 0.8287 (multiplicity 4)  6 Y 2.70-2.87
Rh 0.1388 0.0000 0.4675 (multiplicity 4)  7 Y 2.84-3.15
Rh 0.1778 0.0000 0.1401 (multiplicity 4)  6 Y 2.83-2.99

- Relative energy among the computed polymorphs: 92 meV per atom
- Calculated formation energy: -0.650 eV/atom

5.
# Pa4ReSi

Crystalline Pa4ReSi at its relaxed geometry (PBE, Alexandria via LeMat-Bulk).

a = 6.9264 Å, b = 6.9264 Å, c = 6.3763 Å
α = 90.00°, β = 90.00°, γ = 90.00°
Last column: nearest neighbours and their distance in Å.
Space group P4/nbm (No. 125, origin choice 2)
Symmetry-distinct sites (fractional):
Pa 0.0518 0.5518 0.2142 (multiplicity 8)  1 Re 2.66, 2 Si 2.85, 1 Pa 2.91
Re 0.2500 0.7500 0.5000 (multiplicity 2)  4 Pa 2.66
Si 0.2500 0.2500 0.0000 (multiplicity 2)  8 Pa 2.85

- Relative energy among the computed polymorphs: 353 meV per atom

6.
# ReHg2Pt2

Crystalline ReHg2Pt2 at its relaxed geometry (PBE, Alexandria via LeMat-Bulk).

a = 7.9236 Å, b = 7.9236 Å, c = 2.9019 Å
α = 90.00°, β = 90.00°, γ = 90.00°
Last column: nearest neighbours and their distance in Å.
Space group P4/mbm (No. 127)
Symmetry-distinct sites (fractional):
Re 0.0000 0.0000 0.0000 (multiplicity 2)  2 Re 2.90, 4 Hg 3.12
Hg 0.1281 0.3719 0.0000 (multiplicity 4)  6 Pt 2.66-2.82, 3 Hg 2.87-2.90
Pt 0.1731 0.6731 0.5000 (multiplicity 4)  6 Hg 2.66-2.82, 2 Pt 2.90

- Relative energy among the computed polymorphs: 207 meV per atom
- Calculated formation energy: 0.760 eV/atom

7.
# Sr2TlRe

Crystalline Sr2TlRe at its relaxed geometry (PBE, Alexandria via LeMat-Bulk).

a = 4.7992 Å, b = 4.7992 Å, c = 9.3111 Å
α = 90.00°, β = 90.00°, γ = 90.00°
Last column: nearest neighbours and their distance in Å.
Space group I-4m2 (No. 119)
Symmetry-distinct sites (fractional):
Sr 0.0000 0.0000 0.0000 (multiplicity 2)  4 Tl 3.34, 4 Sr 3.34, 4 Re 3.39
Sr 0.0000 0.5000 0.2500 (multiplicity 2)  4 Re 3.34, 4 Sr 3.34, 4 Tl 3.39
Tl 0.0000 0.5000 0.7500 (multiplicity 2)  4 Re 3.34, 8 Sr 3.34-3.39
Re 0.0000 0.0000 0.5000 (multiplicity 2)  4 Tl 3.34, 8 Sr 3.34-3.39

- Relative energy among the computed polymorphs: 167 meV per atom
- Calculated formation energy: 0.776 eV/atom

8.
# Cd2Sn2Rh

Crystalline Cd2Sn2Rh at its relaxed geometry (PBE, Alexandria via LeMat-Bulk).

a = 7.0216 Å, b = 7.0216 Å, c = 4.6566 Å
α = 90.00°, β = 90.00°, γ = 90.00°
Last column: nearest neighbours and their distance in Å.
Space group P4/mbm (No. 127)
Symmetry-distinct sites (fractional):
Cd 0.1651 0.3349 0.0000 (multiplicity 4)  6 Sn 2.95-3.23, 1 Cd 3.28
Sn 0.1525 0.6525 0.5000 (multiplicity 4)  2 Rh 2.66, 2 Cd 2.95
Rh 0.0000 0.0000 0.5000 (multiplicity 2)  4 Sn 2.66

- Calculated formation energy: 0.057 eV/atom

9.
# NbZn4Pd5

Crystalline NbZn4Pd5 at its relaxed geometry (PBE, Alexandria via LeMat-Bulk).

a = 2.9066 Å, b = 2.9066 Å, c = 17.5715 Å
α = 90.00°, β = 90.00°, γ = 90.00°
Last column: nearest neighbours and their distance in Å.
Space group P4/mmm (No. 123)
Symmetry-distinct sites (fractional):
Nb 0.0000 0.0000 0.0000 (multiplicity 1)  8 Pd 2.85, 4 Nb 2.91
Zn 0.0000 0.0000 0.2089 (multiplicity 2)  8 Pd 2.66-2.67, 4 Zn 2.91
Zn 0.0000 0.0000 0.4032 (multiplicity 2)  8 Pd 2.67, 4 Zn 2.91
Pd 0.5000 0.5000 0.1124 (multiplicity 2)  4 Zn 2.66, 4 Nb 2.85, 4 Pd 2.91
Pd 0.5000 0.5000 0.3062 (multiplicity 2)  8 Zn 2.67, 4 Pd 2.91
Pd 0.5000 0.5000 0.5000 (multiplicity 1)  8 Zn 2.67, 4 Pd 2.91

- Calculated formation energy: -0.513 eV/atom

10.
# Pd14PbAu

Crystalline Pd14PbAu at its relaxed geometry (PBE, Alexandria via LeMat-Bulk).

a = 5.6832 Å, b = 5.6832 Å, c = 7.9399 Å
α = 90.00°, β = 90.00°, γ = 90.00°
Last column: nearest neighbours and their distance in Å.
Space group P4/mmm (No. 123)
Symmetry-distinct sites (fractional):
Pd 0.0000 0.0000 0.0000 (multiplicity 1)  12 Pd 2.79-2.84
Pd 0.0000 0.5000 0.0000 (multiplicity 2)  12 Pd 2.80-2.84
Pd 0.0000 0.5000 0.5000 (multiplicity 2)  2 Pb 2.84, 2 Au 2.84, 8 Pd 2.85
Pd 0.2488 0.2488 0.2448 (multiplicity 8)  10 Pd 2.79-2.86, 1 Au 2.85, 1 Pb 2.86
Pd 0.5000 0.5000 0.0000 (multiplicity 1)  12 Pd 2.80-2.84
Pb 0.5000 0.5000 0.5000 (multiplicity 1)  12 Pd 2.84-2.86
Au 0.0000 0.0000 0.5000 (multiplicity 1)  12 Pd 2.84-2.85

- Calculated formation energy: -0.065 eV/atom

11.
# PaTeH

Crystalline PaTeH at its relaxed geometry (PBE, Alexandria via LeMat-Bulk).

a = 3.5308 Å, b = 3.5308 Å, c = 10.1837 Å
α = 90.00°, β = 90.00°, γ = 90.00°
Last column: nearest neighbours and their distance in Å.
Space group I4mm (No. 107)
Symmetry-distinct sites (fractional):
Pa 0.0000 0.0000 0.0000 (multiplicity 2)  4 H 2.60
Te 0.0000 0.0000 0.3108 (multiplicity 2)  1 H 2.65
H 0.0000 0.0000 0.5710 (multiplicity 2)  4 Pa 2.60, 1 Te 2.65

- DFT total energy: -33.47 eV for the cell shown

12.
# BeAlH

Crystalline BeAlH at its relaxed geometry (PBE, Alexandria via LeMat-Bulk).

a = 3.7931 Å, b = 4.1697 Å, c = 4.3412 Å
α = 91.53°, β = 92.05°, γ = 109.47°
Last column: nearest neighbours and their distance in Å.
Space group P1 (No. 1)
Symmetry-distinct sites (fractional):
Be 0.0000 0.0000 0.0000 (multiplicity 1)  1 H 1.49
Be 0.4491 0.8506 0.7767 (multiplicity 1)  2 H 1.44-1.51
Al 0.1195 0.2488 0.5155 (multiplicity 1)  1 H 1.78
Al 0.6381 0.4027 0.0522 (multiplicity 1)  1 H 2.05
H 0.1739 0.7305 0.0272 (multiplicity 1)  2 Be 1.49-1.51
H 0.2257 0.6976 0.5011 (multiplicity 1)  1 Be 1.44

- Relative energy among the computed polymorphs: 73 meV per atom

no.,Fermi-level density of states (states/eV/f.u.)
1,2.43
2,6.96
3,5.53
4,2.59
5,10.55
6,3.61
7,2.70
8,3.03
9,4.68
10,35.49
11,5.20
12,0.54